[1]
Entry from Alexandria via LeMat-Bulk: an optimized crystal structure of MgMoP2N6 (PBE).

Cell lengths 4.935, 6.588, 6.588 Å; angles 88.80, 81.80, 81.80 degrees
Element x y z (fractional)
P 0.292 0.385 0.226
P 0.708 0.615 0.774
P 0.792 0.226 0.385
P 0.208 0.774 0.615
N 0.388 0.826 0.398
N 0.397 0.581 0.718
N 0.612 0.174 0.602
N 0.888 0.398 0.826
N 0.103 0.282 0.419
N 0.897 0.718 0.581
N 0.352 0.230 0.025
N 0.603 0.419 0.282
N 0.852 0.025 0.230
N 0.648 0.770 0.975
N 0.112 0.602 0.174
N 0.148 0.975 0.770
Mg 0.250 0.906 0.094
Mg 0.750 0.094 0.906
Mo 0.250 0.252 0.748
Mo 0.750 0.748 0.252

Properties
SG: C2/c (15)
Formation energy from raw total energies, eV/atom: -0.3754
Total DFT energy (no corrections), eV for the cell shown: -153.903

***

[2]
Entry from Alexandria via LeMat-Bulk: an optimized crystal structure of MgPa2MoN6 (PBE).

Cell lengths 5.030, 5.257, 5.257 Å; angles 90.00, 90.00, 90.00 degrees
Element x y z (fractional)
N 0.216 0.000 0.000
N 0.739 0.242 0.242
N 0.155 0.500 0.500
N 0.739 0.758 0.758
N 0.739 0.242 0.758
N 0.739 0.758 0.242
Pa 0.987 0.000 0.500
Pa 0.987 0.500 0.000
Mo 0.585 0.000 0.000
Mg 0.561 0.500 0.500

Properties
SG: P4mm (99)
Formation energy from raw total energies, eV/atom: -0.8970
Total DFT energy (no corrections), eV for the cell shown: -90.339

***

[3]
Entry from Alexandria via LeMat-Bulk: an optimized crystal structure of MgMoSeN2 (PBE).

Cell lengths 3.902, 3.902, 5.376 Å; angles 90.00, 90.00, 90.00 degrees
Each line ends with the local moment (μB).
Element x y z (fractional)
Mo 0.000 0.000 0.000  -0.07
N 0.500 0.000 0.000  0.07
N 0.000 0.500 0.000  0.07
Mg 0.500 0.500 0.500  0.00
Se 0.000 0.000 0.500  0.00

Properties
SG: P4/mmm (123)
D(E_F), states/eV per cell: 2.203
Relative energy among the computed polymorphs, kJ per mole of atoms: 0.0
Formation energy from raw total energies, eV/atom: 0.0193
Total DFT energy (no corrections), eV for the cell shown: -32.464

***

[4]
Entry from Alexandria via LeMat-Bulk: an optimized crystal structure of MgMoSe2N (PBE).

Cell lengths 5.112, 5.112, 3.798 Å; angles 90.00, 90.00, 90.00 degrees
Element x y z (fractional)
Mo 0.000 0.000 0.000
Se 0.000 0.500 0.000
Se 0.500 0.000 0.000
N 0.000 0.000 0.500
Mg 0.500 0.500 0.500

Properties
SG: P4/mmm (123)
D(E_F), states/eV per cell: 2.875
Relative energy among the computed polymorphs, kJ per mole of atoms: 0.0
Formation energy from raw total energies, eV/atom: -0.1133
Total DFT energy (no corrections), eV for the cell shown: -28.287

***

Number 1: total magnetization 0.000 μB per formula unit. Number 2: total magnetization 0.000 μB per formula unit. Number 3: total magnetization 0.105 μB per formula unit. Number 4: total magnetization 0.050 μB per formula unit.